Computed, not measured: VB3F after structural relaxation at the PBE+U level of DFT.

Cell lengths 3.5809, 3.5809, 3.5809 Å; angles 90.00, 90.00, 90.00 degrees
Last column: nearest neighbours and their distance in Å.
Fractional coordinates of all 5 atoms:
V 0.5000 0.5000 0.5000  12 B 2.53
B 0.0000 0.5000 0.0000  2 F 1.79
B 0.0000 0.0000 0.5000  2 F 1.79
B 0.5000 0.0000 0.0000  2 F 1.79
F 0.0000 0.0000 0.0000  6 B 1.79

## Properties
Offset from the most stable computed form ... 0.000 eV per atom
VASP energy ... -21.29 eV/cell
Magnetic moment ... 0.00 μB per formula unit
Space-group type ... Pm-3m (221)